! AsPtIN2 (PBE-GGA, optimized geometry); values from VASP
&SYSTEM
  ibrav = 0, nat = 5, ntyp = 4
/
ATOMIC_SPECIES
I 126.90 I.upf
As 74.92 As.upf
Pt 195.08 Pt.upf
N 14.01 N.upf
ATOMIC_POSITIONS crystal
I 0.000 0.000 0.000
As 0.000 0.500 0.000
Pt 0.500 0.500 0.500
N 0.000 0.000 0.500
N 0.500 0.000 0.000
CELL_PARAMETERS angstrom
-3.819 -0.464 0.277
0.861 -5.613 2.458
0.067 1.555 3.528
! volume	18.4	Å³/atom
! magnetization	0.00	Bohr magnetons per cell
! offset from the most stable computed form	0.658	eV per atom
! raw formation energy	1984	meV/atom
! crystal system	tetragonal

***

! Y2BMo (PBE-GGA, optimized geometry); values from VASP
&SYSTEM
  ibrav = 0, nat = 8, ntyp = 3
/
ATOMIC_SPECIES
Y 88.91 Y.upf
Mo 95.94 Mo.upf
B 10.81 B.upf
ATOMIC_POSITIONS crystal
Y 0.462 0.125 0.250
Y 0.288 0.625 0.250
Y 0.375 0.538 0.750
Y 0.875 0.712 0.750
Mo 0.000 0.000 0.000
Mo 0.750 0.250 0.500
B 0.500 0.500 0.000
B 0.250 0.750 0.500
CELL_PARAMETERS angstrom
9.585 0.000 0.000
0.000 9.585 0.000
4.792 4.792 2.083
! volume	23.9	Å³/atom
! magnetization	0.00	Bohr magnetons per cell
! energy of formation from the pure elements	0.33	eV/atom
! crystal system	tetragonal

***

! Y2ZrB2Ru5 (PBE-GGA, optimized geometry); values from VASP
&SYSTEM
  ibrav = 0, nat = 20, ntyp = 4
/
ATOMIC_SPECIES
Y 88.91 Y.upf
Zr 91.22 Zr.upf
B 10.81 B.upf
Ru 101.07 Ru.upf
ATOMIC_POSITIONS crystal
Y 0.000 0.676 0.176
Y 0.000 0.324 0.824
Y 0.000 0.176 0.324
Y 0.000 0.824 0.676
Zr 0.000 0.000 0.000
Zr 0.000 0.500 0.500
B 0.000 0.121 0.621
B 0.000 0.879 0.379
B 0.000 0.621 0.879
B 0.000 0.379 0.121
Ru 0.500 0.223 0.071
Ru 0.500 0.777 0.929
Ru 0.500 0.071 0.777
Ru 0.500 0.723 0.429
Ru 0.500 0.929 0.223
Ru 0.500 0.277 0.571
Ru 0.500 0.571 0.723
Ru 0.500 0.429 0.277
Ru 0.500 0.500 0.000
Ru 0.500 0.000 0.500
CELL_PARAMETERS angstrom
3.169 0.000 0.000
0.000 9.779 0.000
0.000 0.000 9.779
! volume	15.2	Å³/atom
! magnetization	0.00	Bohr magnetons per cell
! energy of formation from the pure elements	-0.47	eV/atom
! crystal system	tetragonal

***

- Which of these has the highest volume?
  Y2BMo

***

- Which formula does entry 1 have?
  AsPtIN2

***

- Number 3 is which compound?
  Y2ZrB2Ru5

***

- The highest volume belongs to which entry?
  Y2BMo